Computed, not measured: a geometry-optimized Hf6MnN structure at the PBE level of DFT.

a b c (Å): 5.687 5.691 6.345
angles (deg): 63.43 63.51 60.05
Space group P-1 (No. 2)
Unique sites:
Hf 0.058 0.411 0.260 (multiplicity 2)
Hf 0.230 0.942 0.740 (multiplicity 2)
Hf 0.411 0.770 0.260 (multiplicity 2)
Mn 0.500 0.500 0.000 (multiplicity 1)
N 0.000 0.000 0.500 (multiplicity 1)

Results
Total moment: 0.0 μB/f.u.
Formation energy without anion corrections: -2.61 eV per formula unit
D(E_F): 0.96 states/eV per atom



Computed, not measured: a geometry-optimized Hf3MnN4 structure at the PBE level of DFT.

a b c (Å): 4.475 4.475 9.120
angles (deg): 90.00 90.00 90.00
Space group I4/mmm (No. 139)
Unique sites:
Hf 0.000 0.000 0.000 (multiplicity 2)
Hf 0.000 0.500 0.250 (multiplicity 4)
Mn 0.000 0.000 0.500 (multiplicity 2)
N 0.000 0.000 0.243 (multiplicity 4)
N 0.000 0.500 0.000 (multiplicity 4)

Results
Total moment: 4.0 μB/f.u.
Formation energy without anion corrections: -11.29 eV per formula unit
D(E_F): 0.41 states/eV per atom



Computed, not measured: a geometry-optimized Hf2MnN structure at the PBE level of DFT.

a b c (Å): 3.1192 3.1192 23.3631
angles (deg): 90.00 90.00 120.00
Space group R-3m (No. 166, hexagonal axes)
Unique sites:
Hf 0.0000 0.0000 0.1106 (multiplicity 6)
Mn 0.0000 0.0000 0.0000 (multiplicity 3)
N 0.0000 0.0000 0.5000 (multiplicity 3)

Results
Total moment: 2.7 μB/f.u.
Formation energy without anion corrections: -1.64 eV per formula unit
D(E_F): 0.72 states/eV per atom



Computed, not measured: a geometry-optimized Hf2MnN2 structure at the PBE level of DFT.

a b c (Å): 6.111 6.111 3.047
angles (deg): 90.00 90.00 90.00
Space group P4/mbm (No. 127)
Unique sites:
Hf 0.165 0.335 0.000 (multiplicity 4)
Mn 0.000 0.000 0.500 (multiplicity 2)
N 0.153 0.653 0.500 (multiplicity 4)

Results
Total moment: 1.0 μB/f.u.
Formation energy without anion corrections: -4.05 eV per formula unit
D(E_F): 0.39 states/eV per atom



Look up the formation energy without anion corrections of the first one.
-2.61 eV per formula unit